DFT (PBE) results for a relaxed structure of La4SbRh2.

a b c (Å): 13.4246 9.0033 9.5287
angles (deg): 90.00 134.77 90.00
Space group C2 (No. 5)
Unique sites:
La: 0.0607 0.0000 0.3789 x4
La: 0.0620 0.5870 0.2426 x4
La: 0.1808 0.3361 0.7444 x4
La: 0.1817 0.2490 0.1226 x4
Sb: 0.0000 0.6677 0.5000 x2
Sb: 0.0000 0.9176 0.0000 x2
Rh: 0.1050 0.2935 0.3552 x4
Rh: 0.2500 0.0427 0.8550 x4

Computed properties:
calculated total energy	-175.325	eV per cell
density of states at the Fermi level	25.58	states/eV per cell
crystal system	monoclinic